Record 1
Material: Ca2ErN
Method: DFT, GGA-PBE
State: relaxed

## Properties
- formation energy without anion corrections (kJ per mole of atoms) = -39

abc: 3.5061 3.5061 29.4552
angles: 90.00 90.00 120.00
With the nearest neighbours (Å) after each atom.
Space group R-3m (No. 166, hexagonal axes)
Asymmetric unit:
Ca 0.0000 0.0000 0.1233 (multiplicity 6)  3 N 2.39
Er 0.0000 0.0000 0.0000 (multiplicity 3)  6 Er 3.51, 2 Ca 3.63
N 0.0000 0.0000 0.5000 (multiplicity 3)  6 Ca 2.39

=====

Record 2
Material: PmSc2Nb
Method: DFT, GGA-PBE
State: relaxed

## Properties
- ΔE to the lowest computed polymorph (meV/atom) = 0.0
- ΔE_f (eV/atom) = 0.16

abc: 3.7097 3.7097 7.0933
angles: 90.00 90.00 90.00
With the nearest neighbours (Å) after each atom.
Space group P4/mmm (No. 123)
Asymmetric unit:
Pm 0.0000 0.0000 0.0000 (multiplicity 1)  8 Sc 3.36, 2 Nb 3.55, 4 Pm 3.71
Sc 0.5000 0.5000 0.2959 (multiplicity 2)  1 Sc 2.90, 4 Nb 3.00
Nb 0.0000 0.0000 0.5000 (multiplicity 1)  8 Sc 3.00

=====

Record 3
Material: MgIrOs4
Method: DFT, GGA-PBE
State: relaxed

## Properties
- ΔE_f (eV/atom) = 0.62

abc: 7.2704 7.2704 7.2704
angles: 90.00 90.00 90.00
With the nearest neighbours (Å) after each atom.
Space group F-43m (No. 216)
Asymmetric unit:
Mg 0.0000 0.0000 0.0000 (multiplicity 4)  12 Os 3.02, 4 Ir 3.15
Ir 0.2500 0.2500 0.2500 (multiplicity 4)  12 Os 3.01, 4 Mg 3.15
Os 0.1245 0.1245 0.6245 (multiplicity 16)  6 Os 2.56-2.58

=====

Record 4
Material: FeRe2Au2
Method: DFT, GGA-PBE
State: relaxed

## Properties
- ΔE to the lowest computed polymorph (meV/atom) = 157.4
- ΔE_f (eV/atom) = 0.90

abc: 8.0261 8.0261 2.7330
angles: 90.00 90.00 90.00
With the nearest neighbours (Å) after each atom.
Space group P4/mbm (No. 127)
Asymmetric unit:
Fe 0.0000 0.0000 0.0000 (multiplicity 2)  2 Fe 2.73, 4 Au 2.93
Re 0.1073 0.3927 0.5000 (multiplicity 4)  1 Re 2.44, 2 Au 2.70
Au 0.1871 0.6871 0.0000 (multiplicity 4)  6 Re 2.70-2.80, 2 Au 2.73, 2 Fe 2.93

=====

Record 5
Material: YSi2P
Method: DFT, GGA-PBE
State: relaxed

## Properties
- formation energy without anion corrections (kJ per mole of atoms) = -17

abc: 6.9054 6.9054 6.8361
angles: 90.00 90.00 90.00
With the nearest neighbours (Å) after each atom.
Space group I-42d (No. 122)
Asymmetric unit:
Y 0.0000 0.0000 0.0000 (multiplicity 4)  4 Si 2.95
Si 0.1766 0.2500 0.6250 (multiplicity 8)  2 P 2.28
P 0.0000 0.0000 0.5000 (multiplicity 4)  4 Si 2.28

=====

Record 6
Material: AlSbIrI2
Method: DFT, GGA-PBE
State: relaxed

## Properties
- ΔE to the lowest computed polymorph (meV/atom) = 737.9
- formation energy without anion corrections (kJ per mole of atoms) = 114

abc: 5.2577 5.2577 5.4691
angles: 90.00 90.00 90.00
With the nearest neighbours (Å) after each atom.
Space group P4/mmm (No. 123)
Asymmetric unit:
Al 0.0000 0.0000 0.0000 (multiplicity 1)  4 I 2.63, 2 Sb 2.73
Sb 0.0000 0.0000 0.5000 (multiplicity 1)  2 Al 2.73
Ir 0.5000 0.5000 0.5000 (multiplicity 1)  4 Sb 3.72, 8 I 3.79
I 0.0000 0.5000 0.0000 (multiplicity 2)  2 Al 2.63

=====

Record 7
Material: SrPuTlF6
Method: DFT, GGA-PBE
State: relaxed

## Properties
- formation energy without anion corrections (kJ per mole of atoms) = -313

abc: 6.6011 6.6011 10.3599
angles: 90.00 90.00 120.00
With the nearest neighbours (Å) after each atom.
Space group P-31c (No. 163)
Asymmetric unit:
Sr 0.3333 0.6667 0.2500 (multiplicity 2)  6 F 2.45
Pu 0.3333 0.6667 0.7500 (multiplicity 2)  6 F 2.30
Tl 0.0000 0.0000 0.0000 (multiplicity 2)  6 F 2.85
F 0.0159 0.3784 0.6407 (multiplicity 12)  1 Pu 2.30, 1 Sr 2.45

=====

Record 8
Material: LiAgTe2
Method: DFT, GGA-PBE
State: relaxed

## Properties
- formation energy without anion corrections (kJ per mole of atoms) = -36

abc: 4.5173 3.0726 15.4666
angles: 90.00 90.00 90.00
With the nearest neighbours (Å) after each atom.
Space group Amm2 (No. 38)
Asymmetric unit:
Li 0.0000 0.0000 0.0000 (multiplicity 2)  6 Te 2.93-3.05, 2 Li 3.07
Ag 0.5000 0.0000 0.7492 (multiplicity 2)  5 Te 2.81-3.00, 2 Ag 3.07
Te 0.0000 0.0000 0.3296 (multiplicity 2)  4 Ag 3.00, 2 Li 3.05, 2 Te 3.07
Te 0.5000 0.0000 0.5678 (multiplicity 2)  1 Ag 2.81, 4 Li 2.93, 2 Te 3.07

=====

Record 9
Material: CaZrIn3
Method: DFT, GGA-PBE
State: relaxed

## Properties
- ΔE to the lowest computed polymorph (meV/atom) = 0.0
- ΔE_f (eV/atom) = 0.18

abc: 5.5400 5.5400 5.5400
angles: 90.00 90.00 90.00
With the nearest neighbours (Å) after each atom.
Space group Pm-3m (No. 221)
Asymmetric unit:
Ca 0.0000 0.0000 0.0000 (multiplicity 1)  12 In 3.92
Zr 0.5000 0.5000 0.5000 (multiplicity 1)  6 In 2.77
In 0.0000 0.5000 0.5000 (multiplicity 3)  2 Zr 2.77

=====

Record 10
Material: Dy3Y2Ho6Sc
Method: DFT, GGA-PBE
State: relaxed

## Properties
- ΔE_f (eV/atom) = 0.03

abc: 6.0909 10.5377 11.6486
angles: 90.00 99.99 90.00
With the nearest neighbours (Å) after each atom.
Space group C2/m (No. 12)
Asymmetric unit:
Dy 0.0000 0.0000 0.0000 (multiplicity 2)  6 Dy 3.51, 6 Ho 3.53-3.54
Dy 0.0000 0.3335 0.0000 (multiplicity 4)  6 Dy 3.51-3.52, 6 Ho 3.52-3.54
Y 0.0000 0.1666 0.5000 (multiplicity 4)  6 Ho 3.50, 3 Y 3.51-3.52, 3 Sc 3.51-3.52
Ho 0.2473 0.3348 0.7483 (multiplicity 8)  6 Ho 3.48-3.53, 1 Sc 3.49, 2 Y 3.50, 3 Dy 3.52-3.54
Ho 0.2482 0.5000 0.2516 (multiplicity 4)  6 Ho 3.48-3.53, 1 Sc 3.49, 2 Y 3.50, 3 Dy 3.52-3.54
Sc 0.0000 0.5000 0.5000 (multiplicity 2)  6 Ho 3.49, 6 Y 3.51-3.52

=====

Record 11
Material: Ta4VRe
Method: DFT, GGA-PBE
State: relaxed

## Properties
- ΔE to the lowest computed polymorph (meV/atom) = 0.0
- ΔE_f (eV/atom) = -0.16

abc: 3.2086 3.2086 9.8362
angles: 90.00 90.00 90.00
With the nearest neighbours (Å) after each atom.
Space group P4/mmm (No. 123)
Asymmetric unit:
Ta 0.0000 0.0000 0.1578 (multiplicity 2)  4 V 2.75, 4 Ta 2.88
Ta 0.5000 0.5000 0.3385 (multiplicity 2)  4 Re 2.77, 4 Ta 2.88
V 0.5000 0.5000 0.0000 (multiplicity 1)  8 Ta 2.75
Re 0.0000 0.0000 0.5000 (multiplicity 1)  8 Ta 2.77

=====

Record 12
Material: Tb2NdThSc
Method: DFT, GGA-PBE
State: relaxed

## Properties
- ΔE_f (eV/atom) = 0.06

abc: 7.8431 5.0247 7.9025
angles: 90.00 90.41 90.00
With the nearest neighbours (Å) after each atom.
Space group P2_1/m (No. 11)
Asymmetric unit:
Tb 0.1536 0.2500 0.4516 (multiplicity 2)  3 Tb 3.48-3.57, 3 Th 3.49-3.50, 3 Sc 3.54-3.55, 3 Nd 3.55-3.56
Tb 0.3414 0.2500 0.0536 (multiplicity 2)  3 Sc 3.46-3.48, 3 Tb 3.48-3.64, 3 Nd 3.52, 3 Th 3.53-3.62
Nd 0.2513 0.7500 0.7549 (multiplicity 2)  3 Sc 3.51-3.54, 6 Tb 3.52-3.56, 3 Th 3.55-3.56
Th 0.4451 0.7500 0.3510 (multiplicity 2)  1 Sc 3.47, 6 Tb 3.49-3.62, 3 Nd 3.55-3.56, 2 Th 3.55
Sc 0.0510 0.7500 0.1501 (multiplicity 2)  6 Tb 3.46-3.55, 1 Th 3.47, 3 Nd 3.51-3.54, 2 Sc 3.54

=====

| no. | VASP energy (eV/atom) | V (Å³/f.u.) |
| --- | --- | --- |
| 1 | -4.629 | 104.53 |
| 2 | -6.711 | 97.62 |
| 3 | -8.608 | 96.08 |
| 4 | -7.082 | 88.03 |
| 5 | -5.852 | 81.50 |
| 6 | -2.781 | 151.18 |
| 7 | -6.534 | 195.47 |
| 8 | -3.134 | 107.34 |
| 9 | -3.569 | 170.03 |
| 10 | -5.015 | 368.15 |
| 11 | -11.657 | 101.26 |
| 12 | -5.498 | 155.71 |